Compound: Th5InTc2
Source: the Alexandria database
Functional: PBE-GGA
Structure: optimized geometry

```
Th5InTc2
1.0
-7.0222 3.5941 1.2133
-2.8756 -3.3787 -6.6345
2.8175 -5.5132 6.3873
Th In Tc
10 2 4
Cartesian
-3.6475 -4.5354 0.6041 Th
-7.6163 -1.9419 -3.7973 Th
0.0000 0.0000 0.0000 Th
-4.9489 0.1077 -2.7106 Th
0.5360 -3.3559 4.7633 Th
-3.5060 -2.1825 4.1453 Th
0.3944 -5.7087 1.2221 Th
-3.5744 -3.1153 -3.1792 Th
-7.4748 0.4109 -0.2560 Th
-3.4328 -0.7624 0.3620 Th
-6.0146 -2.5950 -0.8723 In
-1.0657 -2.7028 1.8383 In
-2.0184 -0.7131 -2.2185 Tc
-4.8969 1.8272 -0.1524 Tc
-5.0009 -1.6118 -5.2688 Tc
-7.8795 0.9285 -3.2027 Tc
```

Summary:
Calculated formation energy, kJ per mole of atoms: -21



Compound: TmThInTc
Source: the Alexandria database
Functional: PBE-GGA
Structure: optimized geometry

```
TmThInTc
1.0
5.1506 0.0000 0.0000
2.5753 4.4605 0.0000
2.5753 1.4868 4.2054
Tm Tc Th In
1 1 1 1
Cartesian
7.7259 4.4605 3.1541 Tm
5.1506 2.9737 2.1027 Tc
2.5753 1.4868 1.0514 Th
0.0000 0.0000 0.0000 In
```

Summary:
Calculated formation energy, kJ per mole of atoms: -11



Compound: Tm3Th3In2Tc
Source: the Alexandria database
Functional: PBE-GGA
Structure: optimized geometry

```
Tm3Th3In2Tc
1.0
3.7876 0.0000 0.0000
0.0000 8.7451 0.0000
0.0000 -4.3725 7.5735
Tm Th In Tc
3 3 2 1
Cartesian
0.0000 2.6428 4.5775 Tm
0.0000 -1.7297 2.9960 Tm
0.0000 3.4595 0.0000 Tm
1.8938 6.5794 0.0000 Th
1.8938 -3.2897 5.6979 Th
1.8938 1.0829 1.8756 Th
1.8938 4.3726 2.5245 In
1.8938 0.0000 5.0490 In
0.0000 0.0000 0.0000 Tc
```

Summary:
Calculated formation energy, kJ per mole of atoms: -25



Compound: Y3Th3InTc2
Source: the Alexandria database
Functional: PBE-GGA
Structure: optimized geometry

```
Y3Th3InTc2
1.0
4.3676 0.0000 0.0000
0.0000 7.9542 0.0000
0.0000 -3.9771 6.8886
Y Th In Tc
3 3 1 2
Cartesian
2.1838 5.8374 0.0000 Y
2.1838 -2.9187 5.0554 Y
2.1838 1.0584 1.8332 Y
0.0000 2.2977 3.9798 Th
0.0000 -1.6794 2.9088 Th
0.0000 3.3588 0.0000 Th
0.0000 0.0000 0.0000 In
2.1838 3.9771 2.2962 Tc
2.1838 0.0000 4.5924 Tc
```

Summary:
Calculated formation energy, kJ per mole of atoms: -2



| no. | E (eV/atom) |
| --- | --- |
| 1 | -7.790 |
| 2 | -6.358 |
| 3 | -5.986 |
| 4 | -7.254 |